The following is a PBE-GGA calculation of an optimized crystal structure of Hf2Zr2Zn, from Alexandria via LeMat-Bulk.

Cell: 3.060 4.783 7.742 Å, 72.01 90.00 90.00°
Fractional coordinates of all 5 atoms:
Hf1 0.000 0.206 0.588
Zr1 0.500 0.603 0.794
Zn1 0.000 0.000 0.000
Hf2 0.000 0.794 0.412
Zr2 0.500 0.397 0.206

Computed properties:
Symmetry = Cmmm, No. 65
Formation energy from the elements = 63 meV per atom

The following is a PBE-GGA calculation of an optimized crystal structure of AgAs2Br, from Alexandria via LeMat-Bulk.

Cell: 4.864 4.864 4.863 Å, 68.95 68.95 106.36°
Fractional coordinates of all 4 atoms:
Br1 0.500 0.000 0.500
As1 0.000 0.000 0.000
Ag1 0.000 0.500 0.500
As2 0.500 0.500 0.000

Computed properties:
Formation energy without anion corrections = 0.267 eV/atom
Symmetry = I4/mmm, No. 139

The following is a PBE-GGA calculation of an optimized crystal structure of NaSb2Te, from Alexandria via LeMat-Bulk.

Cell: 8.987 8.987 7.056 Å, 50.44 50.44 90.00°
Fractional coordinates of all 8 atoms:
Na1 0.500 0.500 0.000
Sb1 0.646 0.125 0.250
Te1 0.000 0.000 0.000
Sb2 0.875 0.896 0.750
Na2 0.250 0.750 0.500
Te2 0.750 0.250 0.500
Sb3 0.375 0.354 0.750
Sb4 0.104 0.625 0.250

Computed properties:
Formation energy without anion corrections = -0.055 eV/atom
Symmetry = I-42d, No. 122

The following is a PBE-GGA calculation of an optimized crystal structure of TbPmB4, from Alexandria via LeMat-Bulk.

Cell: 3.319 5.194 5.194 Å, 67.28 71.39 71.39°
Fractional coordinates of all 6 atoms:
B1 0.249 0.084 0.418
B2 0.751 0.582 0.916
B3 0.751 0.916 0.582
B4 0.249 0.418 0.084
Pm1 0.000 0.000 0.000
Tb1 0.500 0.500 0.500

Computed properties:
Symmetry = Immm, No. 71
Formation energy from the elements = -431 meV per atom

The following is a PBE-GGA calculation of an optimized crystal structure of MgInCu2, from Alexandria via LeMat-Bulk.

Cell: 6.110 6.110 6.110 Å, 152.33 54.55 133.98°
Fractional coordinates of all 4 atoms:
Mg1 0.000 0.000 0.000
In1 0.500 0.000 0.500
Cu1 0.748 0.000 0.748
Cu2 0.252 0.000 0.252

Computed properties:
Symmetry = Immm, No. 71
Formation energy from the elements = 394 meV per atom

The following is a PBE-GGA calculation of an optimized crystal structure of SiBr3F, from Alexandria via LeMat-Bulk.

Cell: 4.932 4.932 4.932 Å, 90.00 90.00 90.00°
Fractional coordinates of all 5 atoms:
Br1 0.500 0.000 0.000
Br2 0.000 0.000 0.500
Si1 0.500 0.500 0.500
Br3 0.000 0.500 0.000
F1 0.000 0.000 0.000

Computed properties:
Formation energy without anion corrections = 0.507 eV/atom
Symmetry = Pm-3m, No. 221

The following is a PBE-GGA calculation of an optimized crystal structure of TcOs3, from Alexandria via LeMat-Bulk.

Cell: 2.725 2.725 7.761 Å, 90.00 90.00 89.98°
Fractional coordinates of all 4 atoms:
Os1 0.000 0.000 0.502
Os2 0.000 0.000 0.998
Os3 0.500 0.500 0.750
Tc1 0.500 0.500 0.250

Computed properties:
Symmetry = P4/mmm, No. 123
Formation energy from the elements = 99 meV per atom

The following is a PBE-GGA calculation of an optimized crystal structure of B5C3, from Alexandria via LeMat-Bulk.

Cell: 2.470 3.992 5.916 Å, 93.41 90.00 90.00°
Fractional coordinates of all 8 atoms:
B1 0.500 0.527 0.270
B2 0.000 0.171 0.270
B3 0.000 0.032 0.936
C1 0.000 0.237 0.724
C2 0.000 0.970 0.507
B4 0.500 0.466 0.682
B5 0.500 0.849 0.093
C3 0.500 0.748 0.517

Computed properties:
Symmetry = Pm, No. 6
Formation energy from the elements = 483 meV per atom

The following is a PBE-GGA calculation of an optimized crystal structure of LiTbNpS4, from Alexandria via LeMat-Bulk.

Cell: 7.919 7.938 7.938 Å, 60.58 60.08 60.08°
Fractional coordinates of all 14 atoms:
Np1 0.000 0.500 0.500
Li1 0.633 0.617 0.117
S1 0.761 0.227 0.251
S2 0.761 0.751 0.727
S3 0.226 0.754 0.254
Tb1 0.000 0.000 0.500
Li2 0.367 0.383 0.883
S4 0.766 0.754 0.254
S5 0.239 0.249 0.273
S6 0.774 0.246 0.746
Tb2 0.500 0.000 0.500
Np2 0.000 0.000 0.000
S7 0.239 0.773 0.749
S8 0.234 0.246 0.746

Computed properties:
Formation energy without anion corrections = -1.571 eV/atom
Symmetry = Imma, No. 74

The following is a PBE-GGA calculation of an optimized crystal structure of Rb2TaSnPt, from Alexandria via LeMat-Bulk.

Cell: 6.350 5.083 6.350 Å, 90.00 90.00 90.00°
Fractional coordinates of all 5 atoms:
Sn1 0.000 0.500 0.000
Rb1 0.500 0.000 0.000
Pt1 0.000 0.000 0.000
Ta1 0.500 0.500 0.500
Rb2 0.000 0.000 0.500

Computed properties:
Symmetry = P4/mmm, No. 123
Formation energy from the elements = 1178 meV per atom

The following is a PBE-GGA calculation of an optimized crystal structure of Mg4TlCd, from Alexandria via LeMat-Bulk.

Cell: 4.327 5.429 7.221 Å, 101.91 72.56 66.51°
Fractional coordinates of all 6 atoms:
Cd1 0.000 0.000 0.000
Mg1 0.661 0.003 0.675
Mg2 0.829 0.504 0.838
Tl1 0.500 0.500 0.500
Mg3 0.171 0.496 0.162
Mg4 0.339 0.997 0.325

Computed properties:
Symmetry = C2/m, No. 12
Formation energy from the elements = -47 meV per atom

The following is a PBE-GGA calculation of an optimized crystal structure of TbYPb2O8, from Alexandria via LeMat-Bulk.

Cell: 5.595 5.595 6.613 Å, 115.03 115.03 90.00°
Fractional coordinates of all 12 atoms:
O1 0.358 0.909 0.301
Pb1 0.250 0.750 0.500
O2 0.608 0.642 0.699
O3 0.391 0.340 0.198
Y1 0.000 0.000 0.000
O4 0.142 0.609 0.802
Tb1 0.750 0.250 0.500
O5 0.807 0.858 0.198
O6 0.660 0.193 0.802
Pb2 0.500 0.500 0.000
O7 0.943 0.392 0.301
O8 0.091 0.057 0.699

Computed properties:
Formation energy without anion corrections = -1.763 eV/atom
Symmetry = I-4, No. 82

The following is a PBE-GGA calculation of an optimized crystal structure of Sc2InCo5Si2, from Alexandria via LeMat-Bulk.

Cell: 3.328 9.133 9.133 Å, 90.00 90.00 90.00°
Fractional coordinates of all 20 atoms:
Sc1 0.000 0.677 0.177
Co1 0.500 0.432 0.280
Si1 0.000 0.619 0.881
Co2 0.500 0.068 0.780
Co3 0.500 0.720 0.432
Sc2 0.000 0.823 0.677
Co4 0.500 0.000 0.500
Si2 0.000 0.881 0.381
Co5 0.500 0.280 0.568
Si3 0.000 0.119 0.619
Sc3 0.000 0.177 0.323
Co6 0.500 0.780 0.932
Co7 0.500 0.500 0.000
Co8 0.500 0.568 0.720
In1 0.000 0.500 0.500
Co9 0.500 0.220 0.068
Si4 0.000 0.381 0.119
Co10 0.500 0.932 0.220
Sc4 0.000 0.323 0.823
In2 0.000 0.000 0.000

Computed properties:
Formation energy without anion corrections = -0.495 eV/atom
Symmetry = P4/mbm, No. 127

The following is a PBE-GGA calculation of an optimized crystal structure of C3SeBr, from Alexandria via LeMat-Bulk.

Cell: 4.095 4.095 4.095 Å, 90.00 90.00 90.00°
Fractional coordinates of all 5 atoms:
C1 0.500 0.000 0.000
C2 0.000 0.500 0.000
C3 0.000 0.000 0.500
Se1 0.500 0.500 0.500
Br1 0.000 0.000 0.000

Computed properties:
Formation energy without anion corrections = 3.644 eV/atom
Symmetry = Pm-3m, No. 221

The following is a PBE-GGA calculation of an optimized crystal structure of SnSb6Ir, from Alexandria via LeMat-Bulk.

Cell: 8.705 8.705 8.442 Å, 108.33 108.80 112.49°
Fractional coordinates of all 16 atoms:
Ir1 0.500 0.000 0.000
Ir2 0.000 0.500 0.000
Sb1 0.628 0.800 0.121
Sb2 0.321 0.492 0.121
Sb3 0.800 0.170 0.668
Sb4 0.200 0.830 0.332
Sb5 0.845 0.327 0.172
Sb6 0.155 0.673 0.828
Sb7 0.498 0.868 0.668
Sb8 0.372 0.200 0.879
Sb9 0.502 0.132 0.332
Sb10 0.136 0.376 0.512
Sb11 0.864 0.624 0.488
Sn1 0.000 0.000 0.500
Sb12 0.679 0.508 0.879
Sn2 0.500 0.500 0.500

Computed properties:
Formation energy without anion corrections = -0.050 eV/atom
Symmetry = C2/m, No. 12

The following is a PBE-GGA calculation of an optimized crystal structure of TmInGaPd, from Alexandria via LeMat-Bulk.

Cell: 4.828 4.828 4.828 Å, 60.00 60.00 60.00°
Fractional coordinates of all 4 atoms:
Tm1 0.000 0.000 0.000
Ga1 0.250 0.250 0.250
Pd1 0.750 0.750 0.750
In1 0.500 0.500 0.500

Computed properties:
Symmetry = F-43m, No. 216
Formation energy from the elements = -582 meV per atom

The following is a PBE-GGA calculation of an optimized crystal structure of Pa5As5Se2, from Alexandria via LeMat-Bulk.

Cell: 3.996 7.040 11.880 Å, 105.54 90.00 106.49°
Fractional coordinates of all 12 atoms:
Pa1 0.000 0.000 0.000
As1 0.341 0.683 0.950
As2 0.500 0.000 0.500
Pa2 0.297 0.595 0.193
Pa3 0.124 0.247 0.434
Se1 0.959 0.918 0.219
Pa4 0.876 0.753 0.566
Pa5 0.703 0.405 0.807
As3 0.275 0.550 0.666
As4 0.725 0.450 0.334
As5 0.659 0.317 0.050
Se2 0.041 0.082 0.781

Computed properties:
Formation energy without anion corrections = -0.963 eV/atom
Symmetry = C2/m, No. 12

The following is a PBE-GGA calculation of an optimized crystal structure of MnPt6Rh23, from Alexandria via LeMat-Bulk.

Cell: 9.377 9.377 7.681 Å, 65.82 65.82 48.36°
Fractional coordinates of all 30 atoms:
Rh1 0.500 0.500 0.000
Rh2 0.873 0.381 0.873
Rh3 0.873 0.873 0.381
Mn1 0.500 0.500 0.500
Rh4 0.619 0.127 0.127
Rh5 0.873 0.873 0.873
Rh6 0.117 0.627 0.628
Rh7 0.500 0.000 0.000
Pt1 0.747 0.253 0.253
Rh8 0.883 0.373 0.372
Pt2 0.253 0.747 0.253
Rh9 0.627 0.117 0.628
Rh10 0.000 0.000 0.500
Rh11 0.000 0.500 0.000
Rh12 0.372 0.372 0.883
Rh13 0.500 0.000 0.500
Pt3 0.750 0.750 0.250
Rh14 0.628 0.628 0.627
Rh15 0.127 0.127 0.619
Rh16 0.000 0.000 0.000
Rh17 0.373 0.883 0.372
Pt4 0.747 0.253 0.747
Pt5 0.253 0.747 0.747
Rh18 0.372 0.372 0.373
Rh19 0.381 0.873 0.873
Pt6 0.250 0.250 0.750
Rh20 0.000 0.500 0.500
Rh21 0.127 0.127 0.127
Rh22 0.628 0.628 0.117
Rh23 0.127 0.619 0.127

Computed properties:
Symmetry = I4/mmm, No. 139
Formation energy from the elements = 59 meV per atom

The following is a PBE-GGA calculation of an optimized crystal structure of AcCu4Ni2, from Alexandria via LeMat-Bulk.

Cell: 5.052 5.233 5.233 Å, 76.56 61.20 61.20°
Fractional coordinates of all 7 atoms:
Cu1 0.309 0.000 0.384
Ni1 0.750 0.500 0.500
Cu2 0.691 0.616 0.000
Ni2 0.250 0.500 0.500
Cu3 0.309 0.384 0.000
Ac1 0.000 0.000 0.000
Cu4 0.691 0.000 0.616

Computed properties:
Symmetry = I4/mmm, No. 139
Formation energy from the elements = -46 meV per atom

The following is a PBE-GGA calculation of an optimized crystal structure of SrGa9Co2, from Alexandria via LeMat-Bulk.

Cell: 7.478 8.295 8.295 Å, 78.28 63.21 63.21°
Fractional coordinates of all 24 atoms:
Sr1 0.500 0.000 0.000
Ga1 0.750 0.500 0.500
Co1 0.875 0.250 0.750
Ga2 0.693 0.578 0.178
Co2 0.875 0.250 0.250
Ga3 0.129 0.422 0.178
Ga4 0.449 0.422 0.822
Ga5 0.621 0.322 0.078
Ga6 0.057 0.322 0.922
Ga7 0.621 0.078 0.322
Ga8 0.057 0.922 0.322
Sr2 0.250 0.500 0.500
Ga9 0.729 0.578 0.822
Ga10 0.301 0.078 0.678
Co3 0.875 0.750 0.250
Ga11 0.729 0.822 0.578
Ga12 0.021 0.922 0.678
Ga13 0.000 0.000 0.000
Ga14 0.021 0.678 0.922
Ga15 0.301 0.678 0.078
Ga16 0.693 0.178 0.578
Ga17 0.129 0.178 0.422
Ga18 0.449 0.822 0.422
Co4 0.375 0.750 0.750

Computed properties:
Symmetry = I4_1/amd, No. 141
Formation energy from the elements = -206 meV per atom

Computed values of raw total energy (unit: eV/atom) for the preceding records, in sequence: -7.593; -3.189; -3.231; -6.446; -2.737; -1.955; -10.915; -7.149; -6.713; -3.589; -1.657; -6.611; -6.673; -2.922; -4.750; -4.439; -7.438; -7.091; -4.625; -3.800.